The following is a DFT calculation (PBE-GGA) of an optimized crystal structure of AcLaSiI.

Structure (POSCAR):
```
AcLaSiI
1.0
4.4551 -0.0007 -0.0003
-2.2272 3.8590 0.0001
-2.2270 -1.2855 8.2195
I Si Ac La
1 1 1 1
Cartesian
2.6484 1.0044 2.9055
-1.8062 1.0045 7.2366
0.4211 -0.2821 5.5049
-1.8065 3.5767 0.5424
```

Calculated values
Density: 6.12 g/cm3
Total magnetization: 0.00 μB/f.u.
Formation energy without anion corrections: -0.9533 eV/atom


The following is a DFT calculation (PBE-GGA) of an optimized crystal structure of AcLaSnI.

Structure (POSCAR):
```
AcLaSnI
1.0
5.7377 0.0000 0.0000
2.8689 4.9690 0.0000
2.8689 1.6563 4.6848
Ac Sn I La
1 1 1 1
Cartesian
5.7377 3.3127 2.3424
8.6066 4.9690 3.5136
2.8689 1.6563 1.1712
0.0000 0.0000 0.0000
```

Calculated values
Density: 7.60 g/cm3
Total magnetization: 0.00 μB/f.u.
Formation energy without anion corrections: -0.8450 eV/atom


The following is a DFT calculation (PBE-GGA) of an optimized crystal structure of Li2AcI6.

Structure (POSCAR):
```
Li2AcI6
1.0
5.0333 0.0000 0.0000
2.5167 7.5531 0.5188
2.5167 3.8806 10.7294
Li I Ac
2 6 1
Cartesian
5.0333 8.7847 9.4651
5.0333 2.6489 1.7831
7.5500 7.3841 2.9034
5.0333 3.8274 4.4814
5.0333 7.6062 6.7668
2.5167 4.0495 8.3448
7.5500 9.0256 10.6190
2.5167 2.4080 0.6292
2.5167 5.7168 5.6241
```

Calculated values
Density: 4.18 g/cm3
Total magnetization: 1.08 μB/f.u.
Formation energy without anion corrections: -1.0837 eV/atom


The following is a DFT calculation (PBE-GGA) of an optimized crystal structure of Li2AcI.

Structure (POSCAR):
```
Li2AcI
1.0
-3.0174 -1.3982 1.8816
0.5465 -3.4020 -1.6517
4.8182 -2.1879 6.1006
Ac Li I
1 2 1
Cartesian
-1.2355 -2.4001 0.1150
1.4808 -0.6724 1.8750
3.3374 -1.5155 4.2256
1.1737 -3.4941 3.1653
```

Calculated values
Density: 5.18 g/cm3
Total magnetization: 0.00 μB/f.u.
Formation energy without anion corrections: -0.3506 eV/atom


The following is a DFT calculation (PBE-GGA) of an optimized crystal structure of Li2AcI4.

Structure (POSCAR):
```
Li2AcI4
1.0
8.3497 0.0000 0.0000
4.1748 8.1948 0.0004
4.1748 2.6680 7.7484
Ac I Li
2 8 4
Cartesian
6.2623 4.0974 0.0002
2.0874 4.0974 0.0002
10.3472 4.0660 5.8230
12.5245 8.5068 5.7490
4.1748 2.3561 1.9998
6.3522 6.7968 1.9258
10.3472 6.7968 1.9258
6.3522 4.0660 5.8230
8.3497 2.7736 2.2976
8.3497 8.0893 5.4511
8.3497 5.4314 3.8744
4.1748 0.0000 0.0000
12.5245 8.2095 2.9335
4.1748 2.6534 4.8153
```

Calculated values
Density: 4.69 g/cm3
Total magnetization: 0.09 μB/f.u.
Formation energy without anion corrections: -1.2059 eV/atom


The following is a DFT calculation (PBE-GGA) of an optimized crystal structure of LiAcI2.

Structure (POSCAR):
```
LiAcI2
1.0
4.1402 0.0000 0.0000
2.0701 3.5855 0.0000
2.0701 1.1952 8.8335
I Li Ac
2 1 1
Cartesian
2.0701 1.1952 7.0601
2.0701 1.1952 1.7649
4.1402 2.3904 0.0215
4.1402 2.3904 4.4037
```

Calculated values
Density: 6.18 g/cm3
Total magnetization: 0.00 μB/f.u.
Formation energy without anion corrections: -1.0306 eV/atom
Offset from the most stable computed form: 0.00 eV/f.u.


The following is a DFT calculation (PBE-GGA) of an optimized crystal structure of LiAcI2.

Structure (POSCAR):
```
LiAcI2
1.0
-3.0928 2.2984 4.6001
-1.1807 -3.3856 4.8117
2.1116 0.8924 4.8878
Li I Ac
1 2 1
Cartesian
0.0000 0.0000 0.0000
-0.2927 0.0392 3.6976
-1.8692 -0.2340 10.6020
-1.0809 -0.0974 7.1498
```

Calculated values
Density: 6.27 g/cm3
Total magnetization: 0.00 μB/f.u.
Formation energy without anion corrections: -0.7651 eV/atom
Offset from the most stable computed form: 1.06 eV/f.u.


The following is a DFT calculation (PBE-GGA) of an optimized crystal structure of LiAcIN.

Structure (POSCAR):
```
LiAcIN
1.0
-2.8972 2.4874 -1.5394
-0.2080 0.6524 -4.0597
-5.4111 -4.4601 -2.5253
N Li I Ac
1 1 1 1
Cartesian
-1.8516 1.8769 -4.2254
-3.0455 0.3751 -4.4057
-5.0001 0.2647 -6.4108
-7.6626 -1.6515 -4.4929
```

Calculated values
Density: 6.00 g/cm3
Total magnetization: 0.00 μB/f.u.
Formation energy without anion corrections: -1.1175 eV/atom